P:
## FeCoNF2 (PBE+U)

Data for FeCoNF2 after structural relaxation.

Summary:
Symmetry: P4/mmm (123)
Volume: 11.53 A^3/atom

Cell lengths 3.9550, 3.9550, 3.6846 Å; angles 90.00, 90.00, 90.00 degrees
Last column: nearest neighbours and their distance in Å.
Atoms (fractional coordinates):
N 0.0000 0.0000 0.5000  2 Co 1.84
F 0.0000 0.5000 0.0000  2 Co 1.98
F 0.5000 0.0000 0.0000  2 Co 1.98
Fe 0.5000 0.5000 0.5000  8 F 2.70, 4 N 2.80
Co 0.0000 0.0000 0.0000  2 N 1.84, 4 F 1.98

=====

Q:
## FeCoNF2 (PBE+U)

Data for FeCoNF2 after structural relaxation.

Summary:
Symmetry: P4/mmm (123)
Volume: 12.36 A^3/atom

Cell lengths 3.8754, 3.8754, 4.1164 Å; angles 90.00, 90.00, 90.00 degrees
Last column: nearest neighbours and their distance in Å.
Atoms (fractional coordinates):
F 0.0000 0.5000 0.0000  2 Fe 1.94
F 0.5000 0.0000 0.0000  2 Fe 1.94
Co 0.5000 0.5000 0.5000  4 N 2.74, 8 F 2.83
Fe 0.0000 0.0000 0.0000  4 F 1.94, 2 N 2.06
N 0.0000 0.0000 0.5000  2 Fe 2.06

=====

Most stable structure - P; separation to the second - 3.1 kJ/mol of atoms.

=====

P:
## FeCoOF2 (PBE+U)

Data for FeCoOF2 after structural relaxation.

Summary:
Symmetry: P4/mmm (123)
Volume: 12.36 A^3/atom

Cell lengths 3.9933, 3.9933, 3.8741 Å; angles 90.00, 90.00, 90.00 degrees
Last column: nearest neighbours and their distance in Å.
Atoms (fractional coordinates):
F 0.0000 0.5000 0.0000  2 Fe 2.00
F 0.5000 0.0000 0.0000  2 Fe 2.00
Co 0.5000 0.5000 0.5000  8 F 2.78, 4 O 2.82
O 0.0000 0.0000 0.5000  2 Fe 1.94
Fe 0.0000 0.0000 0.0000  2 O 1.94, 4 F 2.00

=====

Q:
## FeCoOF2 (PBE+U)

Data for FeCoOF2 after structural relaxation.

Summary:
Symmetry: P4/mmm (123)
Volume: 12.17 A^3/atom

Cell lengths 4.0058, 4.0058, 3.7930 Å; angles 90.00, 90.00, 90.00 degrees
Last column: nearest neighbours and their distance in Å.
Atoms (fractional coordinates):
F 0.0000 0.5000 0.0000  2 Co 2.00
F 0.5000 0.0000 0.0000  2 Co 2.00
O 0.0000 0.0000 0.5000  2 Co 1.90
Co 0.0000 0.0000 0.0000  2 O 1.90, 4 F 2.00
Fe 0.5000 0.5000 0.5000  8 F 2.76, 4 O 2.83

=====

Most stable structure - P; separation to the second - 5.5 kJ/mol of atoms.